(1)
## In5Ag (meta-GGA SCAN)

Data for In5Ag at its PBEsol-relaxed geometry.

- total magnetization (μB per atom) = 0.0000
- formation enthalpy at 0 K (eV/f.u.) = 0.5
- offset from the most stable computed form (meV per atom) = 22

a = 4.517 Å, b = 13.700 Å, c = 4.514 Å
α = 90.00°, β = 90.00°, γ = 90.00°
Space group Cmmm (No. 65)
Symmetry-distinct sites (fractional):
In: 0.000 0.000 0.000 [2 per cell]
In: 0.000 0.160 0.500 [4 per cell]
In: 0.000 0.340 0.000 [4 per cell]
Ag: 0.000 0.500 0.500 [2 per cell]


(2)
## Ni5Pt (meta-GGA SCAN)

Data for Ni5Pt at its PBEsol-relaxed geometry.

- total magnetization (μB per atom) = 0.7072
- formation enthalpy at 0 K (eV/f.u.) = 0.0

a = 4.089 Å, b = 2.570 Å, c = 12.922 Å
α = 90.00°, β = 90.00°, γ = 90.00°
Space group Amm2 (No. 38)
Symmetry-distinct sites (fractional):
Ni: 0.000 0.000 0.000 [2 per cell]
Ni: 0.000 0.000 0.323 [2 per cell]
Ni: 0.000 0.000 0.662 [2 per cell]
Ni: 0.500 0.000 0.113 [2 per cell]
Ni: 0.500 0.000 0.770 [2 per cell]
Pt: 0.500 0.000 0.441 [2 per cell]


(3)
## MgAl2Rh (meta-GGA SCAN)

Data for MgAl2Rh at its PBEsol-relaxed geometry.

- total magnetization (μB per atom) = 0.0000
- formation enthalpy at 0 K (eV/f.u.) = -1.8

a = 5.450 Å, b = 7.688 Å, c = 2.898 Å
α = 90.00°, β = 90.00°, γ = 90.00°
Space group Cmmm (No. 65)
Symmetry-distinct sites (fractional):
Mg: 0.000 0.000 0.000 [2 per cell]
Al: 0.250 0.250 0.500 [4 per cell]
Rh: 0.000 0.500 0.000 [2 per cell]


(4)
## Cs2NaTa (meta-GGA SCAN)

Data for Cs2NaTa at its PBEsol-relaxed geometry.

- total magnetization (μB per atom) = 1.0648
- formation enthalpy at 0 K (eV/f.u.) = 5.9

a = 8.948 Å, b = 8.948 Å, c = 8.948 Å
α = 90.00°, β = 90.00°, γ = 90.00°
Space group Fm-3m (No. 225)
Symmetry-distinct sites (fractional):
Cs: 0.250 0.250 0.250 [8 per cell]
Na: 0.000 0.000 0.000 [4 per cell]
Ta: 0.000 0.000 0.500 [4 per cell]


(5)
## BaY2P (meta-GGA SCAN)

Data for BaY2P at its PBEsol-relaxed geometry.

- total magnetization (μB per atom) = 0.2047
- formation enthalpy at 0 K (eV/f.u.) = -2.6

a = 12.296 Å, b = 3.719 Å, c = 6.577 Å
α = 90.00°, β = 120.53°, γ = 90.00°
Space group Cm (No. 8)
Symmetry-distinct sites (fractional):
Ba: 0.000 0.000 0.000 [2 per cell]
Y: 0.149 0.500 0.646 [2 per cell]
Y: 0.337 0.500 0.336 [2 per cell]
P: 0.266 0.000 0.993 [2 per cell]


(6)
## As2Ru (meta-GGA SCAN)

Data for As2Ru at its PBEsol-relaxed geometry.

- total magnetization (μB per atom) = 0.0000
- formation enthalpy at 0 K (eV/f.u.) = -0.5

a = 8.821 Å, b = 2.991 Å, c = 7.767 Å
α = 90.00°, β = 91.50°, γ = 90.00°
Space group Cm (No. 8)
Symmetry-distinct sites (fractional):
As: 0.000 0.000 0.000 [2 per cell]
As: 0.031 0.000 0.445 [2 per cell]
As: 0.222 0.000 0.717 [2 per cell]
As: 0.258 0.500 0.166 [2 per cell]
Ru: 0.317 0.000 0.416 [2 per cell]
Ru: 0.496 0.000 0.743 [2 per cell]


(7)
## LiP2SCl (meta-GGA SCAN)

Data for LiP2SCl at its PBEsol-relaxed geometry.

- total magnetization (μB per atom) = 0.0000
- formation energy from raw total energies (eV/atom) = 0.308
- offset from the most stable computed form (meV per atom) = 0

a = 4.311 Å, b = 4.311 Å, c = 6.958 Å
α = 90.00°, β = 90.00°, γ = 90.00°
Space group P4/mmm (No. 123)
Symmetry-distinct sites (fractional):
Li: 0.000 0.000 0.000 [1 per cell]
P: 0.000 0.500 0.500 [2 per cell]
S: 0.500 0.500 0.500 [1 per cell]
Cl: 0.500 0.500 0.000 [1 per cell]


(8)
## FeRuPb (meta-GGA SCAN)

Data for FeRuPb at its PBEsol-relaxed geometry.

- total magnetization (μB per atom) = 1.1848
- formation enthalpy at 0 K (eV/f.u.) = 1.7

a = 4.2396 Å, b = 4.2396 Å, c = 3.1354 Å
α = 90.00°, β = 90.00°, γ = 120.00°
Space group P3m1 (No. 156)
Symmetry-distinct sites (fractional):
Fe: 0.0000 0.0000 0.0000 [1 per cell]
Ru: 0.6667 0.3333 0.8606 [1 per cell]
Pb: 0.3333 0.6667 0.4115 [1 per cell]


(9)
## BaLa2TaNi (meta-GGA SCAN)

Data for BaLa2TaNi at its PBEsol-relaxed geometry.

- total magnetization (μB per atom) = 0.5474
- formation enthalpy at 0 K (eV/f.u.) = 8.2

a = 5.738 Å, b = 5.738 Å, c = 4.598 Å
α = 90.00°, β = 90.00°, γ = 90.00°
Space group P4/mmm (No. 123)
Symmetry-distinct sites (fractional):
Ba: 0.000 0.000 0.000 [1 per cell]
La: 0.000 0.500 0.000 [2 per cell]
Ta: 0.500 0.500 0.500 [1 per cell]
Ni: 0.000 0.000 0.500 [1 per cell]


(10)
## TaRhAu4 (meta-GGA SCAN)

Data for TaRhAu4 at its PBEsol-relaxed geometry.

- total magnetization (μB per atom) = 0.0000
- formation enthalpy at 0 K (eV/f.u.) = 2.0

a = 7.426 Å, b = 7.426 Å, c = 7.426 Å
α = 90.00°, β = 90.00°, γ = 90.00°
Space group F-43m (No. 216)
Symmetry-distinct sites (fractional):
Ta: 0.000 0.000 0.000 [4 per cell]
Rh: 0.250 0.250 0.750 [4 per cell]
Au: 0.125 0.125 0.375 [16 per cell]


(11)
## Tc2Mo (meta-GGA SCAN)

Data for Tc2Mo at its PBEsol-relaxed geometry.

- total magnetization (μB per atom) = 0.0000
- formation enthalpy at 0 K (eV/f.u.) = 0.3

a = 2.712 Å, b = 2.712 Å, c = 11.873 Å
α = 90.00°, β = 90.00°, γ = 90.00°
Space group I4/mmm (No. 139)
Symmetry-distinct sites (fractional):
Tc: 0.000 0.000 0.175 [4 per cell]
Mo: 0.000 0.000 0.500 [2 per cell]


(12)
## DyPS4 (meta-GGA SCAN)

Data for DyPS4 at its PBEsol-relaxed geometry.

- total magnetization (μB per atom) = 0.0000
- formation energy from raw total energies (eV/atom) = -1.208

a = 10.570 Å, b = 10.570 Å, c = 18.785 Å
α = 90.00°, β = 90.00°, γ = 90.00°
Space group I4_1/acd (No. 142, origin choice 2)
Symmetry-distinct sites (fractional):
Dy: 0.000 0.250 0.125 [8 per cell]
Dy: 0.000 0.250 0.375 [8 per cell]
P: 0.039 0.000 0.250 [16 per cell]
S: 0.067 0.003 0.840 [32 per cell]
S: 0.085 0.111 0.003 [32 per cell]